## Tl2PtPb (PBE)

Data for a geometry-optimized Tl2PtPb structure.

Cell: 6.657 6.657 13.168 Å, 90.00 90.00 90.00°
Fractional coordinates of all 16 atoms:
Tl 0.195 0.250 0.125
Tl 0.250 0.695 0.375
Tl 0.250 0.805 0.875
Tl 0.305 0.250 0.625
Tl 0.695 0.750 0.625
Tl 0.750 0.195 0.875
Tl 0.750 0.305 0.375
Tl 0.805 0.750 0.125
Pt 0.000 0.000 0.000
Pt 0.000 0.500 0.250
Pt 0.500 0.000 0.750
Pt 0.500 0.500 0.500
Pb 0.000 0.000 0.500
Pb 0.000 0.500 0.750
Pb 0.500 0.000 0.250
Pb 0.500 0.500 0.000

E_tot: -3.22 eV per atom
Excess energy over the best structure of this formula in the dataset: 447 meV/atom
Energy relative to the elements: 1.6 eV/f.u.

## K2SrTaIn (PBE)

Data for a geometry-optimized K2SrTaIn structure.

Cell: 6.391 6.391 5.983 Å, 90.00 90.00 90.00°
Fractional coordinates of all 5 atoms:
K 0.000 0.500 0.000
K 0.500 0.000 0.000
Sr 0.000 0.000 0.000
Ta 0.500 0.500 0.500
In 0.000 0.000 0.500

E_tot: -1.90 eV per atom
Excess energy over the best structure of this formula in the dataset: 790 meV/atom
Energy relative to the elements: 9.0 eV/f.u.

## Cs2InGeS4 (PBE)

Data for a geometry-optimized Cs2InGeS4 structure.

Cell: 14.410 12.814 7.965 Å, 84.38 62.25 33.37°
Fractional coordinates of all 16 atoms:
Cs 0.054 0.054 0.696
Cs 0.304 0.304 0.946
Cs 0.696 0.696 0.054
Cs 0.946 0.946 0.304
In 0.125 0.125 0.125
In 0.875 0.875 0.875
Ge 0.375 0.375 0.375
Ge 0.625 0.625 0.625
S 0.015 0.339 0.423
S 0.277 0.577 0.661
S 0.339 0.015 0.723
S 0.423 0.723 0.015
S 0.577 0.277 0.985
S 0.661 0.985 0.277
S 0.723 0.423 0.339
S 0.985 0.661 0.577

E_tot: -3.95 eV per atom
Energy relative to the elements, uncorrected: -0.76 eV/atom

## Pa2Ga6Os (PBE)

Data for a geometry-optimized Pa2Ga6Os structure.

Cell: 5.925 5.925 5.480 Å, 90.00 90.00 120.00°
Fractional coordinates of all 9 atoms:
Pa 0.333 0.667 0.177
Pa 0.667 0.333 0.823
Ga 0.179 0.358 0.683
Ga 0.179 0.821 0.683
Ga 0.358 0.179 0.317
Ga 0.642 0.821 0.683
Ga 0.821 0.179 0.317
Ga 0.821 0.642 0.317
Os 0.000 0.000 0.000

E_tot: -5.70 eV per atom
Energy relative to the elements: -2.9 eV/f.u.

## La2SiPd6Pb (PBE)

Data for a geometry-optimized La2SiPd6Pb structure.

Cell: 5.624 8.891 8.689 Å, 90.00 90.00 90.00°
Fractional coordinates of all 20 atoms:
La 0.250 0.006 0.243
La 0.250 0.494 0.243
La 0.750 0.506 0.757
La 0.750 0.994 0.757
Si 0.250 0.750 0.724
Si 0.750 0.250 0.276
Pd 0.001 0.250 0.505
Pd 0.007 0.750 0.948
Pd 0.250 0.503 0.600
Pd 0.250 0.997 0.600
Pd 0.493 0.750 0.948
Pd 0.499 0.250 0.505
Pd 0.501 0.750 0.495
Pd 0.507 0.250 0.052
Pd 0.750 0.003 0.400
Pd 0.750 0.497 0.400
Pd 0.993 0.250 0.052
Pd 0.999 0.750 0.495
Pb 0.250 0.250 0.789
Pb 0.750 0.750 0.211

E_tot: -5.71 eV per atom
Energy relative to the elements, uncorrected: -0.69 eV/atom

## BaAl2AgAu5 (PBE)

Data for a geometry-optimized BaAl2AgAu5 structure.

Cell: 5.040 5.040 8.280 Å, 90.00 90.00 90.00°
Fractional coordinates of all 9 atoms:
Ba 0.000 0.000 0.000
Al 0.500 0.500 0.302
Al 0.500 0.500 0.698
Ag 0.000 0.000 0.500
Au 0.000 0.500 0.322
Au 0.000 0.500 0.678
Au 0.500 0.000 0.322
Au 0.500 0.000 0.678
Au 0.500 0.500 0.000

E_tot: -3.47 eV per atom
Energy relative to the elements: -2.6 eV/f.u.

## SmTc2PN (PBE)

Data for a geometry-optimized SmTc2PN structure.

Cell: 5.902 5.902 7.204 Å, 90.00 90.00 142.82°
Fractional coordinates of all 10 atoms:
Sm 0.043 0.957 0.750
Sm 0.957 0.043 0.250
Tc 0.332 0.668 0.559
Tc 0.332 0.668 0.941
Tc 0.668 0.332 0.059
Tc 0.668 0.332 0.441
P 0.233 0.767 0.250
P 0.767 0.233 0.750
N 0.500 0.500 0.000
N 0.500 0.500 0.500

E_tot: -8.67 eV per atom
Energy relative to the elements, uncorrected: -0.84 eV/atom

## Pm2Al12Cu5 (PBE)

Data for a geometry-optimized Pm2Al12Cu5 structure.

Cell: 6.860 6.860 6.860 Å, 82.44 82.44 82.44°
Fractional coordinates of all 19 atoms:
Pm 0.154 0.154 0.154
Pm 0.846 0.846 0.846
Al 0.158 0.158 0.641
Al 0.158 0.641 0.158
Al 0.209 0.500 0.791
Al 0.209 0.791 0.500
Al 0.359 0.842 0.842
Al 0.500 0.209 0.791
Al 0.500 0.791 0.209
Al 0.641 0.158 0.158
Al 0.791 0.209 0.500
Al 0.791 0.500 0.209
Al 0.842 0.359 0.842
Al 0.842 0.842 0.359
Cu 0.000 0.500 0.500
Cu 0.402 0.402 0.402
Cu 0.500 0.000 0.500
Cu 0.500 0.500 0.000
Cu 0.598 0.598 0.598

E_tot: -4.21 eV per atom
Energy relative to the elements: -5.1 eV/f.u.

## LaZn2ReAu (PBE)

Data for a geometry-optimized LaZn2ReAu structure.

Cell: 5.742 5.742 5.004 Å, 90.00 90.00 90.00°
Fractional coordinates of all 5 atoms:
La 0.000 0.000 0.000
Zn 0.000 0.500 0.000
Zn 0.500 0.000 0.000
Re 0.000 0.000 0.500
Au 0.500 0.500 0.500

E_tot: -2.95 eV per atom
Energy relative to the elements: 8.5 eV/f.u.

## Cs3CdNi (PBE)

Data for a geometry-optimized Cs3CdNi structure.

Cell: 6.635 6.635 6.635 Å, 90.00 90.00 90.00°
Fractional coordinates of all 5 atoms:
Cs 0.000 0.000 0.500
Cs 0.000 0.500 0.000
Cs 0.500 0.000 0.000
Cd 0.500 0.500 0.500
Ni 0.000 0.000 0.000

E_tot: -1.40 eV per atom
Excess energy over the best structure of this formula in the dataset: 0 meV/atom
Energy relative to the elements: 2.2 eV/f.u.

## Ba2Ga3SnHg4 (PBE)

Data for a geometry-optimized Ba2Ga3SnHg4 structure.

Cell: 4.860 4.860 11.590 Å, 90.00 90.00 90.00°
Fractional coordinates of all 10 atoms:
Ba 0.000 0.500 0.244
Ba 0.500 0.000 0.756
Ga 0.000 0.500 0.875
Ga 0.500 0.000 0.125
Ga 0.500 0.500 0.500
Sn 0.000 0.000 0.500
Hg 0.000 0.000 0.000
Hg 0.000 0.500 0.642
Hg 0.500 0.000 0.358
Hg 0.500 0.500 0.000

E_tot: -2.18 eV per atom
Energy relative to the elements: -3.7 eV/f.u.

## Sc2GaSe (PBE)

Data for a geometry-optimized Sc2GaSe structure.

Cell: 6.821 6.821 6.821 Å, 90.00 90.00 90.00°
Fractional coordinates of all 16 atoms:
Sc 0.250 0.250 0.250
Sc 0.250 0.250 0.750
Sc 0.250 0.750 0.250
Sc 0.250 0.750 0.750
Sc 0.750 0.250 0.250
Sc 0.750 0.250 0.750
Sc 0.750 0.750 0.250
Sc 0.750 0.750 0.750
Ga 0.000 0.000 0.000
Ga 0.000 0.500 0.500
Ga 0.500 0.000 0.500
Ga 0.500 0.500 0.000
Se 0.000 0.000 0.500
Se 0.000 0.500 0.000
Se 0.500 0.000 0.000
Se 0.500 0.500 0.500

E_tot: -5.47 eV per atom
Excess energy over the best structure of this formula in the dataset: 479 meV/atom
Energy relative to the elements, uncorrected: -0.67 eV/atom